First-principles (PBE-GGA) data for an optimized crystal structure of Cs2CeInF6, as listed in the Alexandria database.

a b c (Å): 7.014 7.018 7.016
angles (deg): 59.99 60.02 90.00
Last column: magnetic moment on the atom in μB.
Element x y z (fractional)
F 0.732 0.731 0.000  -0.01
F 0.732 0.268 0.000  -0.01
F 0.731 0.732 0.537  -0.01
F 0.268 0.732 0.000  -0.01
F 0.268 0.269 0.000  -0.01
F 0.269 0.268 0.463  -0.01
Cs 0.250 0.750 0.500  0.00
Cs 0.750 0.250 0.500  0.00
Ce 0.500 0.500 0.000  0.96
In 0.000 0.000 0.000  0.00

Raw total energy: -5.169 eV per atom
Raw formation energy: -30.08 eV per formula unit
DOS(E_F): 0.01 states/eV/atom
V: 24.4 Å³ per atom